1.
# Tb4Ge6Ir7 PBE relaxed
# Total energy, eV/cell: -245.70
# Calculated volume, A^3/atom: 17.6
data_Tb4Ge6Ir7
_chemical_formula_sum 'Tb8 Ge12 Ir14'
_cell_length_a 8.4197
_cell_length_b 8.4197
_cell_length_c 8.4197
_cell_angle_alpha 90.00
_cell_angle_beta 90.00
_cell_angle_gamma 90.00
_space_group_name_H-M_alt 'I m -3 m'
_space_group_IT_number 229
_space_group_name_Hall '-I 4 2 3'
loop_
_atom_site_label
_atom_site_fract_x
_atom_site_fract_y
_atom_site_fract_z
Tb1 0.2500 0.2500 0.2500
Ge1 0.0000 0.0000 0.3188
Ir1 0.0000 0.0000 0.0000
Ir2 0.0000 0.2500 0.5000

=====

2.
# TbYGe2Ir PBE relaxed
# Offset from the most stable computed form, meV per atom: 0
# Total energy, eV/cell: -135.28
# Calculated volume, A^3/atom: 21.0
data_TbYGe2Ir
_chemical_formula_sum 'Tb4 Y4 Ge8 Ir4'
_cell_length_a 10.5578
_cell_length_b 4.3059
_cell_length_c 10.3460
_cell_angle_alpha 90.00
_cell_angle_beta 116.96
_cell_angle_gamma 90.00
_space_group_name_H-M_alt 'C 1 2/m 1'
_space_group_IT_number 12
loop_
_space_group_symop_operation_xyz
'x,y,z'
'-x,-y,-z'
'-x,y,-z'
'x,-y,z'
'x+1/2,y+1/2,z'
'-x+1/2,-y+1/2,-z'
'-x+1/2,y+1/2,-z'
'x+1/2,-y+1/2,z'
loop_
_atom_site_label
_atom_site_fract_x
_atom_site_fract_y
_atom_site_fract_z
Tb1 0.0082 0.0000 0.3299
Y1 0.1902 0.0000 0.1183
Ge1 0.0193 0.5000 0.8842
Ge2 0.1482 0.5000 0.5531
Ir1 0.2285 0.5000 0.3354

=====

3.
# TbYGe2Ir PBE relaxed
# Offset from the most stable computed form, meV per atom: 2
# Total energy, eV/cell: -135.23
# Calculated volume, A^3/atom: 21.0
data_TbYGe2Ir
_chemical_formula_sum 'Tb4 Y4 Ge8 Ir4'
_cell_length_a 10.5735
_cell_length_b 4.3080
_cell_length_c 10.3534
_cell_angle_alpha 90.00
_cell_angle_beta 116.93
_cell_angle_gamma 90.00
_space_group_name_H-M_alt 'C 1 2/m 1'
_space_group_IT_number 12
loop_
_space_group_symop_operation_xyz
'x,y,z'
'-x,-y,-z'
'-x,y,-z'
'x,-y,z'
'x+1/2,y+1/2,z'
'-x+1/2,-y+1/2,-z'
'-x+1/2,y+1/2,-z'
'x+1/2,-y+1/2,z'
loop_
_atom_site_label
_atom_site_fract_x
_atom_site_fract_y
_atom_site_fract_z
Tb1 0.1903 0.0000 0.1185
Y1 0.0083 0.0000 0.3299
Ge1 0.0193 0.5000 0.8841
Ge2 0.1481 0.5000 0.5531
Ir1 0.2286 0.5000 0.3355

=====

4.
# TcGeIr PBE relaxed
# Offset from the most stable computed form, meV per atom: 0
# Total energy, eV/cell: -93.56
# Calculated volume, A^3/atom: 17.2
data_TcGeIr
_chemical_formula_sum 'Tc4 Ge4 Ir4'
_cell_length_a 5.9150
_cell_length_b 5.9150
_cell_length_c 5.9150
_cell_angle_alpha 90.00
_cell_angle_beta 90.00
_cell_angle_gamma 90.00
_space_group_name_H-M_alt 'F -4 3 m'
_space_group_IT_number 216
_space_group_name_Hall 'F -4 2 3'
loop_
_atom_site_label
_atom_site_fract_x
_atom_site_fract_y
_atom_site_fract_z
Tc1 0.0000 0.0000 0.0000
Ge1 0.2500 0.2500 0.7500
Ir1 0.2500 0.2500 0.2500

=====

Which value of total energy does entry 1 give?
-245.70 eV/cell

=====

Which of these has the lowest calculated volume?
TcGeIr